Material: Pr4PbAu5
Method: DFT, GGA-PBE
State: relaxed

## Properties
- DOS at the Fermi energy (states/eV per cell) = 6.83
- spin magnetization (μB/f.u.) = 0.0
- density (Mg/m³) = 11.242
- formation energy (eV per formula unit) = -6.6
- calculated volume (A^3/atom) = 25.93
- space group = P4/mmm, No. 123

a b c (Å): 3.7881 3.7881 18.0720
angles (deg): 90.00 90.00 90.00
Last column: nearest neighbours and their distance in Å.
Atoms (fractional coordinates):
Pr 0.0000 0.0000 0.1902  8 Au 3.10-3.31, 1 Pb 3.44
Pr 0.0000 0.0000 0.3961  8 Au 3.22-3.27
Pr 0.0000 0.0000 0.6039  8 Au 3.22-3.27
Pr 0.0000 0.0000 0.8098  8 Au 3.10-3.31, 1 Pb 3.44
Pb 0.0000 0.0000 0.0000  8 Au 3.27, 2 Pr 3.44
Au 0.5000 0.5000 0.1039  4 Pr 3.10, 4 Pb 3.27
Au 0.5000 0.5000 0.2976  8 Pr 3.22-3.31, 1 Au 3.50
Au 0.5000 0.5000 0.5000  8 Pr 3.27, 2 Au 3.66
Au 0.5000 0.5000 0.7024  8 Pr 3.22-3.31, 1 Au 3.50
Au 0.5000 0.5000 0.8961  4 Pr 3.10, 4 Pb 3.27